The following is a GGA-PBE calculation of Hf4Zr2Ni3C3 after structural relaxation, from the Open Quantum Materials Database.

Calculated total energy ... -215.62 eV/cell
Calculated volume ... 15.08 A^3/atom
Symmetry ... No. 15

Unit cell a=5.598 b=5.598 c=13.738 alpha=101.97 beta=101.97 gamma=59.98
Sites, in units of the cell vectors:
C  0.500  0.000  0.000
C  0.830  0.335  0.000
C  0.170  0.665  0.000
C  0.335  0.830  0.500
C  0.000  0.500  0.500
C  0.665  0.170  0.500
Hf  0.201  0.028  0.093
Hf  0.862  0.698  0.094
Hf  0.302  0.138  0.406
Hf  0.972  0.799  0.407
Hf  0.028  0.201  0.593
Hf  0.698  0.862  0.594
Hf  0.138  0.302  0.906
Hf  0.799  0.972  0.907
Ni  0.101  0.415  0.250
Ni  0.073  0.927  0.250
Ni  0.585  0.899  0.250
Ni  0.415  0.101  0.750
Ni  0.927  0.073  0.750
Ni  0.899  0.585  0.750
Zr  0.537  0.373  0.109
Zr  0.627  0.463  0.391
Zr  0.373  0.537  0.609
Zr  0.463  0.627  0.891

***

The following is a GGA-PBE calculation of LiTaPt after structural relaxation, from the Open Quantum Materials Database.

Calculated total energy ... -19.19 eV/cell
Calculated volume ... 18.16 A^3/atom
Symmetry ... No. 216

Unit cell a=4.255 b=4.255 c=4.255 alpha=60.00 beta=60.00 gamma=60.00
Sites, in units of the cell vectors:
Li  0.250  0.250  0.250
Pt  0.750  0.750  0.750
Ta  0.000  0.000  0.000

***

The following is a GGA-PBE calculation of Hf2TaSi2 after structural relaxation, from the Open Quantum Materials Database.

Calculated total energy ... -43.01 eV/cell
Calculated volume ... 18.19 A^3/atom
Symmetry ... No. 139

Unit cell a=6.455 b=6.455 c=6.455 alpha=144.33 beta=144.33 gamma=51.34
Sites, in units of the cell vectors:
Hf  0.750  0.250  0.500
Hf  0.250  0.750  0.500
Si  0.404  0.404  0.000
Si  0.596  0.596  0.000
Ta  0.000  0.000  0.000

***

The following is a GGA-PBE calculation of CoH after structural relaxation, from the Open Quantum Materials Database.

Calculated total energy ... -10.45 eV/cell
Calculated volume ... 6.23 A^3/atom
Symmetry ... No. 225

Unit cell a=2.602 b=2.602 c=2.602 alpha=60.00 beta=60.00 gamma=60.00
Sites, in units of the cell vectors:
Co  0.000  0.000  0.000
H  0.500  0.500  0.500

***

The following is a GGA-PBE calculation of GdScH4 after structural relaxation, from the Open Quantum Materials Database.

Calculated total energy ... -28.43 eV/cell
Calculated volume ... 10.37 A^3/atom
Symmetry ... No. 123

Unit cell a=3.521 b=3.521 c=5.020 alpha=90.00 beta=90.00 gamma=90.00
Sites, in units of the cell vectors:
Gd  0.500  0.500  0.500
H  0.500  0.000  0.225
H  0.000  0.500  0.225
H  0.500  0.000  0.775
H  0.000  0.500  0.775
Sc  0.000  0.000  0.000

***

The following is a GGA-PBE calculation of LuP3O9 after structural relaxation, from the Open Quantum Materials Database.

Calculated total energy ... -787.52 eV/cell
Calculated volume ... 14.62 A^3/atom
Symmetry ... No. 220

Unit cell a=12.546 b=12.546 c=12.546 alpha=109.47 beta=109.47 gamma=109.47
Sites, in units of the cell vectors:
Lu  0.207  0.500  0.000
Lu  0.707  0.500  0.000
Lu  0.500  0.000  0.207
Lu  0.293  0.293  0.293
Lu  0.000  0.207  0.500
Lu  0.000  0.707  0.500
Lu  0.500  0.000  0.707
Lu  0.793  0.793  0.793
O  0.408  0.229  0.001
O  0.400  0.831  0.016
O  0.185  0.669  0.069
O  0.810  0.415  0.084
O  0.895  0.668  0.085
O  0.093  0.821  0.092
O  0.821  0.092  0.093
O  0.116  0.431  0.100
O  0.273  0.190  0.105
O  0.431  0.100  0.116
O  0.395  0.585  0.168
O  0.685  0.569  0.169
O  0.771  0.273  0.179
O  0.669  0.069  0.185
O  0.105  0.273  0.190
O  0.332  0.916  0.227
O  0.999  0.907  0.227
O  0.001  0.408  0.229
O  0.679  0.773  0.271
O  0.179  0.771  0.273
O  0.190  0.105  0.273
O  0.584  0.915  0.310
O  0.384  0.484  0.315
O  0.593  0.592  0.321
O  0.900  0.516  0.331
O  0.916  0.227  0.332
O  0.484  0.315  0.384
O  0.585  0.168  0.395
O  0.831  0.016  0.400
O  0.499  0.727  0.407
O  0.229  0.001  0.408
O  0.084  0.810  0.415
O  0.832  0.727  0.416
O  0.100  0.116  0.431
O  0.315  0.384  0.484
O  0.727  0.407  0.499
O  0.729  0.908  0.501
O  0.331  0.900  0.516
O  0.169  0.685  0.569
O  0.915  0.310  0.584
O  0.168  0.395  0.585
O  0.321  0.593  0.592
O  0.592  0.321  0.593
O  0.931  0.616  0.600
O  0.690  0.773  0.605
O  0.600  0.931  0.616
O  0.085  0.895  0.668
O  0.069  0.185  0.669
O  0.773  0.271  0.679
O  0.569  0.169  0.685
O  0.773  0.605  0.690
O  0.416  0.832  0.727
O  0.407  0.499  0.727
O  0.908  0.501  0.729
O  0.273  0.179  0.771
O  0.271  0.679  0.773
O  0.605  0.690  0.773
O  0.415  0.084  0.810
O  0.984  0.884  0.815
O  0.092  0.093  0.821
O  0.016  0.400  0.831
O  0.727  0.416  0.832
O  0.815  0.984  0.884
O  0.668  0.085  0.895
O  0.516  0.331  0.900
O  0.227  0.999  0.907
O  0.501  0.729  0.908
O  0.310  0.584  0.915
O  0.227  0.332  0.916
O  0.616  0.600  0.931
O  0.884  0.815  0.984
O  0.907  0.227  0.999
P  0.336  0.130  0.042
P  0.958  0.794  0.088
P  0.042  0.336  0.130
P  0.206  0.794  0.164
P  0.794  0.164  0.206
P  0.870  0.412  0.206
P  0.706  0.664  0.294
P  0.458  0.588  0.294
P  0.130  0.042  0.336
P  0.706  0.912  0.370
P  0.206  0.870  0.412
P  0.588  0.294  0.458
P  0.630  0.836  0.542
P  0.294  0.458  0.588
P  0.836  0.542  0.630
P  0.294  0.706  0.664
P  0.664  0.294  0.706
P  0.912  0.370  0.706
P  0.164  0.206  0.794
P  0.088  0.958  0.794
P  0.542  0.630  0.836
P  0.412  0.206  0.870
P  0.370  0.706  0.912
P  0.794  0.088  0.958